(1)
Below is a relaxed structure of K3Hg, with properties calculated at the PBE level.

The structure in POSCAR format:
```
K3Hg
1.0
-1.4754 -1.3944 4.1710
4.5442 0.1632 -0.9175
0.3913 11.4996 3.9829
K Hg
3 1
direct
0.0000 0.0000 0.5000
0.6667 0.3333 0.1912
0.6667 0.3333 0.8088
0.0000 0.0000 0.0000
```

## Properties
- volume (Å³ per atom) = 56.73
- space-group type = No. 187
- DFT formation energy (eV/atom) = -0.0728
- total magnetic moment (μB/cell) = 0.00

***

(2)
Below is a relaxed structure of NpCdH8Ir2, with properties calculated at the PBE level.

The structure in POSCAR format:
```
NpCdH8Ir2
1.0
4.7632 0.0000 0.0000
2.3816 4.1251 0.0000
2.3816 1.3750 6.2702
Np Cd H Ir
1 1 8 2
direct
0.5000 0.5000 0.5000
0.0000 0.0000 0.0000
0.1315 0.1315 0.6054
0.4337 0.4320 0.1778
0.8685 0.8685 0.3946
0.9565 0.4337 0.1778
0.0435 0.5663 0.8222
0.4320 0.9565 0.1778
0.5680 0.0435 0.8222
0.5663 0.5680 0.8222
0.2201 0.2201 0.3397
0.7799 0.7799 0.6603
```

## Properties
- volume (Å³ per atom) = 10.27
- space-group type = No. 166
- E_tot (eV/atom) = -4.75
- total magnetic moment (μB/cell) = 3.53

***

(3)
Below is a relaxed structure of TiReSb2, with properties calculated at the PBE level.

The structure in POSCAR format:
```
TiReSb2
1.0
-3.9359 -0.9373 1.1956
-0.5212 -2.2855 -3.5077
0.9603 -9.2544 3.3500
Re Ti Sb
2 2 4
direct
0.0000 0.0000 0.0000
0.7500 0.2500 0.5000
0.5000 0.5000 0.0000
0.2500 0.7500 0.5000
0.6304 0.1250 0.2500
0.1196 0.6250 0.2500
0.3750 0.3696 0.7500
0.8750 0.8804 0.7500
```

## Properties
- volume (Å³ per atom) = 20.98
- relative energy among the computed polymorphs (eV/atom) = 0.357
- formation energy (no corrections) (eV per atom) = 0.519
- space-group type = No. 122
- total magnetic moment (μB/cell) = 0.56

***

(4)
Below is a relaxed structure of Cs2NbAlI6, with properties calculated at the PBE level.

The structure in POSCAR format:
```
Cs2NbAlI6
1.0
-2.3013 -2.1765 -7.9224
5.3576 -6.6350 0.2666
-2.8748 -7.8715 -1.5968
Cs I Nb Al
2 6 1 1
direct
0.7500 0.2500 0.5000
0.2500 0.7500 0.5000
0.2389 0.2389 0.5222
0.7611 0.7611 0.4778
0.2388 0.2388 0.0000
0.7612 0.7612 0.0000
0.7612 0.2388 0.0000
0.2388 0.7612 0.0000
0.0000 0.0000 0.0000
0.5000 0.5000 0.0000
```

## Properties
- volume (Å³ per atom) = 43.91
- formation energy (no corrections) (eV per atom) = -0.765
- space-group type = No. 225
- total magnetic moment (μB/cell) = 2.00

***

(5)
Below is a relaxed structure of LaTcBr2, with properties calculated at the PBE level.

The structure in POSCAR format:
```
LaTcBr2
1.0
-1.6453 1.2093 -3.1390
-2.8910 -2.2949 0.6312
-3.2287 5.0702 3.6457
Tc Br La
1 2 1
direct
0.5000 0.5000 0.7500
0.0000 0.0000 0.0071
0.0000 0.0000 0.4929
0.5000 0.5000 0.2500
```

## Properties
- volume (Å³ per atom) = 24.65
- relative energy among the computed polymorphs (eV/atom) = 0.509
- formation energy (no corrections) (eV per atom) = -0.052
- space-group type = No. 123
- total magnetic moment (μB/cell) = 3.71

***

(6)
Below is a relaxed structure of IrBr2Cl, with properties calculated at the PBE level.

The structure in POSCAR format:
```
IrBr2Cl
1.0
-3.4453 1.6824 0.7193
2.6258 -1.1904 2.6279
4.3449 9.0091 -0.2604
Ir Br Cl
1 2 1
direct
0.5000 0.5000 0.7466
0.0000 0.0000 0.9153
0.5000 0.5000 0.2461
0.0000 0.0000 0.5921
```

## Properties
- volume (Å³ per atom) = 30.40
- relative energy among the computed polymorphs (eV/atom) = 0.488
- formation energy (no corrections) (eV per atom) = 0.305
- space-group type = No. 35
- total magnetic moment (μB/cell) = 1.75